DFT (PBE+U) results for a geometry-optimized Tb2VCoO6 structure.

a b c (Å): 5.2487 5.6387 7.5338
angles (deg): 90.00 89.81 90.00
Last column: nearest neighbours and their distance in Å.
Element x y z (fractional)
O1 0.8962 0.5353 0.2530  1 Co 1.95, 1 V 1.99
O2 0.8104 0.7982 0.5530  1 Co 1.99, 1 V 2.03
O3 0.8023 0.8089 0.9479  1 Co 1.96, 1 V 2.07
O4 0.6977 0.3089 0.5521  1 Co 1.96, 1 V 2.07
O5 0.1896 0.2018 0.4470  1 Co 1.99, 1 V 2.03
O6 0.1977 0.1911 0.0521  1 Co 1.96, 1 V 2.07
O7 0.3023 0.6911 0.4479  1 Co 1.96, 1 V 2.07
O8 0.3104 0.7018 0.0530  1 Co 1.99, 1 V 2.03
O9 0.6038 0.0353 0.2470  1 Co 1.95, 1 V 1.99
O10 0.3962 0.9647 0.7530  1 Co 1.95, 1 V 1.99
O11 0.6896 0.2982 0.9470  1 Co 1.99, 1 V 2.03
O12 0.1038 0.4647 0.7470  1 Co 1.95, 1 V 1.99
Co1 0.5000 0.0000 0.0000  6 O 1.95-1.99
Co2 0.0000 0.5000 0.5000  6 O 1.95-1.99
V1 0.0000 0.5000 0.0000  6 O 1.99-2.07
V2 0.5000 0.0000 0.5000  6 O 1.99-2.07
Tb1 0.0209 0.9305 0.2501  6 O 2.27-2.50
Tb2 0.9791 0.0695 0.7499  6 O 2.27-2.50
Tb3 0.4791 0.4305 0.2499  6 O 2.27-2.50
Tb4 0.5209 0.5695 0.7501  6 O 2.27-2.50

Properties
total DFT energy (no corrections) = -154.27 eV/cell
theoretical density = 7.80 g/cm3